Entry 1
# SmYIn2

A relaxed SmYIn2 crystal (PBE-GGA, the Alexandria database).

CIF file:
```
data_SmYIn2
_space_group_name_H-M_alt 'P 4/m m m'
_space_group_IT_number 123
_space_group_name_Hall '-P 4 2'
_cell_length_a 5.012
_cell_length_b 5.012
_cell_length_c 4.345
_cell_angle_alpha 90.00
_cell_angle_beta 90.00
_cell_angle_gamma 90.00
loop_
_atom_site_label
_atom_site_fract_x
_atom_site_fract_y
_atom_site_fract_z
Sm1 0.000 0.000 0.000
Y1 0.500 0.500 0.000
In1 0.000 0.500 0.500
```

=====

Entry 2
# SmYIn2

A relaxed SmYIn2 crystal (PBE-GGA, the Alexandria database).

CIF file:
```
data_SmYIn2
_space_group_name_H-M_alt 'P 4/m m m'
_space_group_IT_number 123
_space_group_name_Hall '-P 4 2'
_cell_length_a 3.796
_cell_length_b 3.796
_cell_length_c 7.608
_cell_angle_alpha 90.00
_cell_angle_beta 90.00
_cell_angle_gamma 90.00
loop_
_atom_site_label
_atom_site_fract_x
_atom_site_fract_y
_atom_site_fract_z
Sm1 0.000 0.000 0.000
Y1 0.000 0.000 0.500
In1 0.500 0.500 0.257
```

=====

The data favor entry 2; the next most stable structure lies 0.009 eV/atom above it.

=====

Entry 1
# SmYIn2

A relaxed SmYIn2 crystal (PBE-GGA, the Alexandria database).

CIF file:
```
data_SmYIn2
_space_group_name_H-M_alt 'R -3 m'
_space_group_IT_number 166
_space_group_name_Hall '-R 3 2"'
_cell_length_a 3.7436
_cell_length_b 3.7436
_cell_length_c 29.2397
_cell_angle_alpha 90.00
_cell_angle_beta 90.00
_cell_angle_gamma 120.00
loop_
_atom_site_label
_atom_site_fract_x
_atom_site_fract_y
_atom_site_fract_z
Sm1 0.0000 0.0000 0.0000
Y1 0.0000 0.0000 0.5000
In1 0.0000 0.0000 0.2487
```

=====

Entry 2
# SmYIn2

A relaxed SmYIn2 crystal (PBE-GGA, the Alexandria database).

CIF file:
```
data_SmYIn2
_space_group_name_H-M_alt 'F m -3 m'
_space_group_IT_number 225
_space_group_name_Hall '-F 4 2 3'
_cell_length_a 7.594
_cell_length_b 7.594
_cell_length_c 7.594
_cell_angle_alpha 90.00
_cell_angle_beta 90.00
_cell_angle_gamma 90.00
loop_
_atom_site_label
_atom_site_fract_x
_atom_site_fract_y
_atom_site_fract_z
Sm1 0.000 0.000 0.000
Y1 0.000 0.000 0.500
In1 0.250 0.250 0.250
```

=====

The data favor entry 2; the next most stable structure lies 0.162 eV/atom above it.

=====

Entry 1
# Sm3Y2In

A relaxed Sm3Y2In crystal (PBE-GGA, the Alexandria database).

CIF file:
```
data_Sm3Y2In
_space_group_name_H-M_alt 'I m m m'
_space_group_IT_number 71
_space_group_name_Hall '-I 2 2'
_cell_length_a 5.816
_cell_length_b 6.469
_cell_length_c 10.260
_cell_angle_alpha 90.00
_cell_angle_beta 90.00
_cell_angle_gamma 90.00
loop_
_atom_site_label
_atom_site_fract_x
_atom_site_fract_y
_atom_site_fract_z
Sm1 0.000 0.000 0.000
Sm2 0.000 0.000 0.349
Y1 0.000 0.500 0.312
In1 0.000 0.500 0.000
```

=====

Entry 2
# Sm3Y2In

A relaxed Sm3Y2In crystal (PBE-GGA, the Alexandria database).

CIF file:
```
data_Sm3Y2In
_space_group_name_H-M_alt 'C m m m'
_space_group_IT_number 65
_space_group_name_Hall '-C 2 2'
_cell_length_a 4.928
_cell_length_b 15.224
_cell_length_c 4.955
_cell_angle_alpha 90.00
_cell_angle_beta 90.00
_cell_angle_gamma 90.00
loop_
_atom_site_label
_atom_site_fract_x
_atom_site_fract_y
_atom_site_fract_z
Sm1 0.000 0.000 0.000
Sm2 0.000 0.332 0.000
Y1 0.000 0.161 0.500
In1 0.000 0.500 0.500
```

=====

The data favor entry 2; the next most stable structure lies 0.325 eV/atom above it.